# 1
FeReAs2: relaxed, GGA-PBE.

The structure in POSCAR format:
```
FeReAs2
1.0
1.486 0.858 7.581
-1.486 0.858 7.581
0.000 -1.716 7.581
Fe Re As
1 1 2
Direct
0.000 0.000 0.000
0.500 0.500 0.500
0.254 0.254 0.254
0.746 0.746 0.746
```

Its energy of formation is 263 meV per atom. The spin magnetization comes out at 1.4 μB per formula unit. The density is 11.2 g/cm³. The density of states at the Fermi level comes out at 4.4 states/eV per cell.

# 2
FeRe2As: relaxed, GGA-PBE.

The structure in POSCAR format:
```
FeRe2As
1.0
-2.715 2.715 5.358
2.715 -2.715 5.358
2.715 2.715 -5.358
Fe Re As
2 4 2
Direct
0.000 0.000 0.000
0.750 0.250 0.500
0.095 0.625 0.970
0.375 0.345 0.470
0.655 0.125 0.030
0.875 0.905 0.530
0.250 0.750 0.500
0.500 0.500 0.000
```

Its energy of formation is 1067 meV per atom. The spin magnetization comes out at 0.0 μB per formula unit. The density is 10.6 g/cm³. The density of states at the Fermi level comes out at 6.1 states/eV per cell.

# 3
Fe4ReAs: relaxed, GGA-PBE.

The structure in POSCAR format:
```
Fe4ReAs
1.0
0.000 3.353 3.353
3.353 0.000 3.353
3.353 3.353 0.000
Fe Re As
4 1 1
Direct
0.124 0.124 0.124
0.124 0.124 0.627
0.124 0.627 0.124
0.627 0.124 0.124
0.750 0.750 0.750
0.500 0.500 0.500
```

Its energy of formation is 329 meV per atom. The spin magnetization comes out at 7.9 μB per formula unit. The density is 10.7 g/cm³. The density of states at the Fermi level comes out at 5.8 states/eV per cell.

# 4
FeReAs2: relaxed, GGA-PBE.

The structure in POSCAR format:
```
FeReAs2
1.0
3.086 0.000 0.000
0.000 3.086 0.000
0.000 0.000 6.024
Fe Re As
1 1 2
Direct
0.000 0.000 0.000
0.000 0.000 0.500
0.500 0.500 0.246
0.500 0.500 0.754
```

Its energy of formation is 226 meV per atom. The spin magnetization comes out at 2.1 μB per formula unit. The density is 11.3 g/cm³. The density of states at the Fermi level comes out at 3.0 states/eV per cell.